The following is a DFT calculation (PBEsol) of crystalline Hf2TiNi3 at its relaxed geometry.

Computed properties:
As for the volume: 14.6 Å³/atom. The value obtained for the total energy is -8.39 eV/atom. For the size of the total moment, the calculation gives 0.10 μB per atom. The density of states at the Fermi level comes out at 0.800 states/eV/atom.

abc: 7.6094 7.6094 13.6223
angles: 100.54 100.54 110.17
With the nearest neighbours (Å) after each atom.
Sites, in units of the cell vectors:
Ni: 0.0243 0.7959 0.3410  2 Ti 2.53-2.66, 4 Hf 2.67-2.80, 2 Ni 2.73-2.77
Ni: 0.8988 0.6855 0.5039  5 Hf 2.52-2.70, 2 Ti 2.56-2.57, 3 Ni 2.73-2.77
Ni: 0.2734 0.5375 0.8089  2 Ti 2.49-2.66, 5 Hf 2.54-2.69, 1 Ni 2.68
Ni: 0.3145 0.1012 0.4961  5 Hf 2.52-2.70, 2 Ti 2.56-2.57, 3 Ni 2.73-2.77
Ni: 0.6051 0.8183 0.5039  5 Hf 2.52-2.70, 2 Ti 2.56-2.57, 3 Ni 2.73-2.77
Ni: 0.1817 0.3949 0.4961  5 Hf 2.52-2.70, 2 Ti 2.56-2.57, 3 Ni 2.73-2.77
Ni: 0.9766 0.2125 0.6911  2 Ti 2.49-2.66, 5 Hf 2.54-2.69, 1 Ni 2.68
Ni: 0.5355 0.2715 0.8089  2 Ti 2.49-2.66, 5 Hf 2.54-2.69, 1 Ni 2.68
Ni: 0.9355 0.6488 0.0039  5 Hf 2.52-2.70, 2 Ti 2.56-2.57, 3 Ni 2.73-2.77
Ni: 0.7285 0.4645 0.1911  2 Ti 2.49-2.66, 5 Hf 2.54-2.69, 1 Ni 2.68
Ni: 0.7145 0.4785 0.6911  2 Ti 2.49-2.66, 5 Hf 2.54-2.69, 1 Ni 2.68
Ni: 0.2257 0.9541 0.1590  2 Ti 2.53-2.66, 4 Hf 2.67-2.80, 2 Ni 2.73-2.77
Ni: 0.7875 0.0234 0.3089  2 Ti 2.49-2.66, 5 Hf 2.54-2.69, 1 Ni 2.68
Ni: 0.4549 0.6833 0.6590  2 Ti 2.53-2.66, 4 Hf 2.67-2.80, 2 Ni 2.73-2.77
Ni: 0.0683 0.3551 0.0039  5 Hf 2.52-2.70, 2 Ti 2.56-2.57, 3 Ni 2.73-2.77
Ni: 0.3512 0.0645 0.9961  5 Hf 2.52-2.70, 2 Ti 2.56-2.57, 3 Ni 2.73-2.77
Ni: 0.5215 0.2855 0.3089  2 Ti 2.49-2.66, 5 Hf 2.54-2.69, 1 Ni 2.68
Ni: 0.2041 0.9757 0.6590  2 Ti 2.53-2.66, 4 Hf 2.67-2.80, 2 Ni 2.73-2.77
Ni: 0.7951 0.0667 0.8410  2 Ti 2.53-2.66, 4 Hf 2.67-2.80, 2 Ni 2.73-2.77
Ni: 0.4625 0.7266 0.1911  2 Ti 2.49-2.66, 5 Hf 2.54-2.69, 1 Ni 2.68
Ni: 0.3167 0.5451 0.3410  2 Ti 2.53-2.66, 4 Hf 2.67-2.80, 2 Ni 2.73-2.77
Ni: 0.9333 0.2049 0.1590  2 Ti 2.53-2.66, 4 Hf 2.67-2.80, 2 Ni 2.73-2.77
Ni: 0.0459 0.7743 0.8410  2 Ti 2.53-2.66, 4 Hf 2.67-2.80, 2 Ni 2.73-2.77
Ni: 0.6449 0.9317 0.9961  5 Hf 2.52-2.70, 2 Ti 2.56-2.57, 3 Ni 2.73-2.77
Hf: 0.9098 0.4104 0.3516  6 Ni 2.54-2.80, 1 Ti 2.80
Hf: 0.8407 0.8407 0.6814  8 Ni 2.62-2.69
Hf: 0.0907 0.5907 0.1814  8 Ni 2.62-2.69
Hf: 0.1913 0.1918 0.8516  6 Ni 2.54-2.80, 1 Ti 2.80
Hf: 0.5896 0.0902 0.6484  6 Ni 2.54-2.80, 1 Ti 2.80
Hf: 0.7179 0.2821 0.0000  8 Ni 2.52-2.75, 1 Ti 2.72
Hf: 0.5321 0.4679 0.5000  8 Ni 2.52-2.75, 1 Ti 2.72
Hf: 0.0587 0.5582 0.6484  6 Ni 2.54-2.80, 1 Ti 2.80
Hf: 0.4418 0.9413 0.3516  6 Ni 2.54-2.80, 1 Ti 2.80
Hf: 0.8082 0.8087 0.1484  6 Ni 2.54-2.80, 1 Ti 2.80
Hf: 0.1593 0.1593 0.3186  8 Ni 2.62-2.69
Hf: 0.4093 0.9093 0.8186  8 Ni 2.62-2.69
Hf: 0.2821 0.7179 0.0000  8 Ni 2.52-2.75, 1 Ti 2.72
Hf: 0.3402 0.3396 0.1484  6 Ni 2.54-2.80, 1 Ti 2.80
Hf: 0.6604 0.6598 0.8516  6 Ni 2.54-2.80, 1 Ti 2.80
Hf: 0.9679 0.0321 0.5000  8 Ni 2.52-2.75, 1 Ti 2.72
Ti: 0.6677 0.6677 0.3354  8 Ni 2.49-2.66
Ti: 0.3323 0.3323 0.6646  8 Ni 2.49-2.66
Ti: 0.7500 0.2500 0.5000  6 Hf 2.72-2.80, 4 Ni 2.97
Ti: 0.9177 0.4177 0.8354  8 Ni 2.49-2.66
Ti: 0.0000 0.0000 0.0000  8 Ni 2.56-2.66
Ti: 0.5823 0.0823 0.1646  8 Ni 2.49-2.66
Ti: 0.2500 0.7500 0.5000  8 Ni 2.56-2.66
Ti: 0.5000 0.5000 0.0000  6 Hf 2.72-2.80, 4 Ni 2.97

***

The following is a DFT calculation (PBEsol) of crystalline Y2CdP2 at its relaxed geometry.

Computed properties:
As for the volume: 20.3 Å³/atom. The value obtained for the total energy is -6.41 eV/atom. For the size of the total moment, the calculation gives 0.00 μB per atom. The density of states at the Fermi level comes out at 0.071 states/eV/atom.

abc: 3.6888 7.4270 7.4270
angles: 90.00 90.00 90.00
With the nearest neighbours (Å) after each atom.
Sites, in units of the cell vectors:
Y: 0.5000 0.1561 0.6561  6 P 2.75-2.93
Y: 0.5000 0.3439 0.1561  6 P 2.75-2.93
Y: 0.5000 0.8439 0.3439  6 P 2.75-2.93
Y: 0.5000 0.6561 0.8439  6 P 2.75-2.93
P: 0.0000 0.6504 0.1504  6 Y 2.75-2.93, 2 Cd 2.83
P: 0.0000 0.1504 0.3496  6 Y 2.75-2.93, 2 Cd 2.83
P: 0.0000 0.3496 0.8496  6 Y 2.75-2.93, 2 Cd 2.83
P: 0.0000 0.8496 0.6504  6 Y 2.75-2.93, 2 Cd 2.83
Cd: 0.0000 0.5000 0.5000  4 P 2.83
Cd: 0.0000 0.0000 0.0000  4 P 2.83

***

The following is a DFT calculation (PBEsol) of crystalline Cu2SiNi at its relaxed geometry.

Computed properties:
As for the volume: 11.0 Å³/atom. The value obtained for the total energy is -5.38 eV/atom. For the size of the total moment, the calculation gives 0.00 μB per atom. The density of states at the Fermi level comes out at 0.368 states/eV/atom.

abc: 3.4334 3.4334 4.4592
angles: 112.64 112.64 90.00
With the nearest neighbours (Å) after each atom.
Sites, in units of the cell vectors:
Si: 0.0000 0.0000 0.0000  4 Ni 2.43, 8 Cu 2.54
Cu: 0.7500 0.2500 0.5000  4 Cu 2.43, 4 Ni 2.54, 4 Si 2.54
Cu: 0.2500 0.7500 0.5000  4 Cu 2.43, 4 Si 2.54, 4 Ni 2.54
Ni: 0.5000 0.5000 0.0000  4 Si 2.43, 8 Cu 2.54

***

Which value of size of the total moment does entry 1 give? 0.10 μB per atom

***

Which value of size of the total moment does entry 3 give? 0.00 μB per atom

***

Which formula does entry 1 have? Hf2TiNi3